Entry 1:
# Nd4GaAsSe2

A relaxed structure of Nd4GaAsSe2 (GGA-PBE, the Alexandria database).

Values from the calculation:
Magnetization in μB/atom: 0.00
ΔE_f (raw) in eV/atom: -1.4573
Raw total energy in eV per cell: -45.4

abc: 7.436 4.206 7.451
angles: 90.00 108.83 90.00
Positions (direct):
Nd  0.246  0.000  0.241
Nd  0.249  0.500  0.752
Nd  0.751  0.500  0.248
Nd  0.754  0.000  0.759
Ga  0.500  0.000  0.000
As  0.000  0.500  0.000
Se  0.000  0.000  0.500
Se  0.500  0.500  0.500

***

Entry 2:
# ZrTiTe3

A relaxed structure of ZrTiTe3 (GGA-PBE, the Alexandria database).

Values from the calculation:
Magnetization in μB/atom: 0.09
ΔE_f (raw) in eV/atom: -0.8137
Offset from the most stable computed form in meV/atom: 0
Raw total energy in eV per cell: -59.9

abc: 7.099 3.894 10.041
angles: 90.00 104.38 90.00
Positions (direct):
Zr  0.223  0.250  0.002
Zr  0.777  0.750  0.998
Ti  0.377  0.250  0.355
Ti  0.623  0.750  0.645
Te  0.014  0.750  0.804
Te  0.243  0.750  0.504
Te  0.488  0.750  0.177
Te  0.512  0.250  0.823
Te  0.757  0.250  0.496
Te  0.986  0.250  0.196